## Be3Fe4Si3TeO12 (GGA+U)

Data for crystalline Be3Fe4Si3TeO12 at its relaxed geometry.

Cell and atoms, written as extended XYZ:
```
46
Lattice="-5.024 -6.111 -2.951 -1.016 -3.101 7.787 -6.689 5.041 1.083" Properties=species:S:1:pos:R:3 pbc="T T T"
Fe -9.356 -3.680 3.723
Fe -3.689 -1.669 5.108
Fe -2.980 -1.593 0.763
Fe -9.033 -0.651 0.291
Fe -5.521 -5.832 4.496
Fe -7.834 -0.388 6.299
Fe -6.492 -4.413 0.393
Fe -5.837 1.294 2.611
O -4.809 -4.981 2.758
O -7.269 2.663 3.288
O -4.735 -0.466 0.576
O -5.222 -5.998 0.359
O -4.063 -1.914 7.139
O -6.788 -0.469 2.245
O -6.466 -7.593 4.119
O -7.888 -2.261 4.011
O -5.143 2.148 0.879
O -9.552 -4.878 5.355
O -7.207 -1.413 -0.187
O -6.948 -4.463 5.160
O -11.099 -2.548 3.540
O -5.173 -2.755 4.154
O -6.988 1.198 7.343
O -3.186 -2.796 2.392
O -9.407 -0.903 2.313
O -1.857 -2.427 4.646
O -6.562 -1.971 6.273
O -1.530 -0.171 1.057
O -5.637 -2.830 1.423
O -10.525 -1.734 -0.672
O -8.078 0.369 4.386
O -6.752 -3.657 -1.526
Si -6.083 -1.303 1.011
Si -5.038 3.789 0.814
Si -4.280 -6.134 1.702
Si -1.691 1.271 0.279
Si -8.432 1.965 4.221
Si -6.635 -2.870 4.896
Be -4.705 -3.343 2.688
Be -12.452 -3.389 3.976
Be -0.269 -0.782 1.940
Be -8.046 -0.821 3.238
Be -8.114 -5.163 6.097
Be -4.607 0.993 -0.179
Te -9.196 1.980 -0.393
Te -3.848 0.965 4.436
```

Calculated values
Its uncorrected energy is -7.124 eV per atom.